! PBE TlFe2Ag, optimized geometry; values from VASP
&SYSTEM
  ibrav = 0, nat = 4, ntyp = 3
/
ATOMIC_SPECIES
Ag 107.87 Ag.upf
Fe 55.84 Fe.upf
Tl 204.38 Tl.upf
ATOMIC_POSITIONS crystal
Ag 0.0000 0.5000 0.5000
Fe 0.0000 0.0000 0.0000
Fe 0.5000 0.5000 0.0000
Tl 0.5000 0.0000 0.5000
CELL_PARAMETERS angstrom
-1.9987 -2.3078 3.8009
2.6076 -3.2018 -2.5916
2.3700 0.6178 1.6214
! Space-group type = Cmmm
! Formation energy = 546 meV/atom

***

! PBE La7PdPt4, optimized geometry; values from VASP
&SYSTEM
  ibrav = 0, nat = 12, ntyp = 3
/
ATOMIC_SPECIES
La 138.91 La.upf
Pd 106.42 Pd.upf
Pt 195.08 Pt.upf
ATOMIC_POSITIONS crystal
La 0.7415 0.4829 0.3563
La 0.2553 0.5107 0.6444
La 0.3455 0.6909 0.9492
La 0.6549 0.3099 0.0504
La 0.0411 0.0822 0.7837
La 0.9591 0.9183 0.2167
La 0.5019 0.0037 0.4991
Pd 0.8823 0.7646 0.5765
Pt 0.6974 0.3948 0.8169
Pt 0.3025 0.6051 0.1821
Pt 0.0003 0.0005 0.0000
Pt 0.1182 0.2364 0.4246
CELL_PARAMETERS angstrom
-0.9954 -3.5177 1.9234
-0.4107 -1.3808 -7.1737
12.2392 -2.0276 2.6256
! Space-group type = Cm
! Formation energy = -938 meV/atom

***

! PBE ZrMoPt2Br, optimized geometry; values from VASP
&SYSTEM
  ibrav = 0, nat = 5, ntyp = 4
/
ATOMIC_SPECIES
Mo 95.94 Mo.upf
Br 79.90 Br.upf
Zr 91.22 Zr.upf
Pt 195.08 Pt.upf
ATOMIC_POSITIONS crystal
Mo 0.5000 0.5000 0.5000
Br 0.0000 0.0000 0.0000
Zr 0.0000 0.5000 0.0000
Pt 0.0000 0.0000 0.5000
Pt 0.5000 0.0000 0.0000
CELL_PARAMETERS angstrom
4.7222 0.0000 0.0000
0.0000 4.8536 0.0000
0.0000 0.0000 4.7222
! Space-group type = P4/mmm
! Uncorrected formation energy = 1.107 eV per atom

***

! PBE YEr7In4, optimized geometry; values from VASP
&SYSTEM
  ibrav = 0, nat = 12, ntyp = 3
/
ATOMIC_SPECIES
Y 88.91 Y.upf
Er 167.26 Er.upf
In 114.82 In.upf
ATOMIC_POSITIONS crystal
Y 0.0000 0.0000 0.0000
Er 0.7876 0.8767 0.5481
Er 0.2124 0.1233 0.4519
Er 0.0635 0.6029 0.2700
Er 0.9365 0.3971 0.7300
Er 0.2801 0.6608 0.7789
Er 0.5000 0.0000 0.0000
Er 0.7199 0.3392 0.2211
In 0.5613 0.2418 0.6355
In 0.4387 0.7582 0.3645
In 0.6813 0.6654 0.9719
In 0.3187 0.3346 0.0281
CELL_PARAMETERS angstrom
5.6138 0.0000 0.0000
2.8069 8.7292 0.5119
2.8069 0.7322 7.1630
! Space-group type = C2/m
! Formation energy = -75 meV/atom